Compound: Ac2In6PdRu
Source: Alexandria via LeMat-Bulk
Functional: PBE-GGA
Structure: relaxed

```
Ac2In6PdRu
1.0
-0.726 3.766 5.888
-7.573 -0.543 -0.586
-4.560 -2.763 5.393
Ac In Pd Ru
2 6 1 1
Direct
0.283 0.713 0.434
0.717 0.287 0.566
0.251 0.754 0.943
0.804 0.753 0.946
0.247 0.194 0.503
0.749 0.246 0.057
0.196 0.247 0.054
0.753 0.806 0.497
0.500 0.500 0.000
0.000 0.000 0.000
```

**DOS(E_F)**: 0.54 states/eV/atom
**Density**: 8.13 g/cm3
**Calculated total energy**: -41.77 eV/f.u.


Compound: Ac2InPdS5
Source: Alexandria via LeMat-Bulk
Functional: PBE-GGA
Structure: relaxed

```
Ac2InPdS5
1.0
-2.268 0.492 -3.422
-0.454 -8.942 1.514
-9.817 1.640 6.743
Ac In Pd S
4 2 2 10
Direct
0.877 0.754 0.800
0.120 0.239 0.679
0.123 0.246 0.300
0.880 0.761 0.179
0.590 0.179 0.969
0.410 0.821 0.469
0.757 0.515 0.574
0.243 0.485 0.074
0.363 0.727 0.988
0.694 0.388 0.829
0.505 0.010 0.784
0.304 0.609 0.641
0.964 0.928 0.560
0.637 0.273 0.488
0.306 0.612 0.329
0.495 0.990 0.284
0.696 0.391 0.141
0.036 0.072 0.060
```

**DOS(E_F)**: 0.31 states/eV/atom
**Energy relative to the elements, uncorrected**: -1.34 eV per atom
**Density**: 6.31 g/cm3


Compound: Ac2InSbPd6
Source: Alexandria via LeMat-Bulk
Functional: PBE-GGA
Structure: relaxed

```
Ac2InSbPd6
1.0
6.921 -0.563 -1.234
-0.467 6.765 1.114
2.364 3.894 5.144
Ac In Sb Pd
2 1 1 6
Direct
0.725 0.250 0.526
0.275 0.750 0.474
0.500 0.500 0.000
0.000 0.000 0.000
0.261 0.260 0.502
0.917 0.747 0.830
0.261 0.763 0.999
0.739 0.237 0.001
0.083 0.253 0.170
0.739 0.740 0.498
```

**DOS(E_F)**: 0.41 states/eV/atom
**Energy relative to the elements, uncorrected**: -0.69 eV per atom
**Density**: 9.60 g/cm3


Compound: Ac3In2SbPd9
Source: Alexandria via LeMat-Bulk
Functional: PBE-GGA
Structure: relaxed

```
Ac3In2SbPd9
1.0
-6.152 3.263 -0.525
2.528 -3.582 -5.436
-4.265 -7.559 2.998
Ac In Sb Pd
3 2 1 9
Direct
0.333 0.667 0.735
0.000 0.000 0.000
0.667 0.333 0.265
0.333 0.667 0.190
0.667 0.333 0.810
0.000 0.000 0.500
0.867 0.133 0.724
0.867 0.733 0.724
0.267 0.133 0.724
0.733 0.867 0.276
0.133 0.267 0.276
0.133 0.867 0.276
0.500 0.000 0.000
0.000 0.500 0.000
0.500 0.500 0.000
```

**DOS(E_F)**: 0.50 states/eV/atom
**Energy relative to the elements, uncorrected**: -0.48 eV per atom
**Density**: 8.52 g/cm3


Compound: AcIn2Sb2Pd7
Source: Alexandria via LeMat-Bulk
Functional: PBE-GGA
Structure: relaxed

```
AcIn2Sb2Pd7
1.0
4.111 -0.015 -0.115
-0.010 4.111 -0.115
1.600 1.598 15.547
Ac In Sb Pd
1 2 2 7
Direct
0.000 0.000 0.000
0.877 0.877 0.415
0.123 0.123 0.585
0.578 0.578 0.745
0.422 0.422 0.255
0.500 0.500 0.000
0.384 0.384 0.422
0.616 0.616 0.578
0.954 0.455 0.148
0.455 0.954 0.148
0.545 0.046 0.852
0.046 0.545 0.852
```

**DOS(E_F)**: 0.41 states/eV/atom
**Energy relative to the elements, uncorrected**: -0.41 eV per atom
**Density**: 9.08 g/cm3


Compound: Ac2InSb3Pd6
Source: Alexandria via LeMat-Bulk
Functional: PBE-GGA
Structure: relaxed

```
Ac2InSb3Pd6
1.0
4.399 0.000 0.000
0.000 4.399 0.000
0.000 0.000 16.266
Ac In Sb Pd
2 1 3 6
Direct
0.500 0.500 0.210
0.500 0.500 0.790
0.500 0.500 0.500
0.000 0.000 0.313
0.000 0.000 0.687
0.000 0.000 0.000
0.000 0.500 0.599
0.500 0.000 0.401
0.500 0.000 0.599
0.000 0.000 0.153
0.000 0.500 0.401
0.000 0.000 0.847
```

**DOS(E_F)**: 0.51 states/eV/atom
**Energy relative to the elements, uncorrected**: -0.55 eV per atom
**Density**: 8.30 g/cm3


Compound: AcScInPd
Source: Alexandria via LeMat-Bulk
Functional: PBE-GGA
Structure: relaxed

```
AcScInPd
1.0
5.292 0.000 0.000
2.646 4.583 0.000
2.646 1.528 4.321
Sc Ac Pd In
1 1 1 1
Direct
0.250 0.250 0.250
0.750 0.750 0.750
0.500 0.500 0.500
0.000 0.000 0.000
```

**DOS(E_F)**: 1.02 states/eV/atom
**Density**: 7.81 g/cm3
**Calculated total energy**: -20.01 eV/f.u.


Compound: AcInSiPd6
Source: Alexandria via LeMat-Bulk
Functional: PBE-GGA
Structure: relaxed

```
AcInSiPd6
1.0
6.938 0.000 0.000
0.000 8.682 0.000
-3.469 -4.341 5.798
Ac In Si Pd
2 2 2 12
Direct
0.719 0.469 0.439
0.281 0.531 0.561
0.500 0.000 0.500
0.000 0.000 0.500
0.500 0.500 0.000
0.500 0.000 0.000
0.575 0.825 0.149
0.013 0.263 0.027
0.908 0.121 0.236
0.328 0.615 0.236
0.328 0.121 0.236
0.908 0.615 0.236
0.425 0.175 0.851
0.987 0.737 0.973
0.092 0.879 0.764
0.672 0.385 0.764
0.672 0.879 0.764
0.092 0.385 0.764
```

**DOS(E_F)**: 0.50 states/eV/atom
**Energy relative to the elements, uncorrected**: -0.47 eV per atom
**Density**: 9.59 g/cm3


Q: The lowest density belongs to which entry?
A: Ac2InPdS5


Q: Which of these has the highest DOS(E_F)?
A: AcScInPd